DFT (SCAN) results for a crystal of BaH4O6 relaxed with PBEsol.

Results
space group: C2/c (15)
uncorrected energy: -9.350 eV/atom
N(E_F): 2.27 states/eV/f.u.
offset from the most stable computed form: 0 meV per atom

Cell: 5.909 5.909 9.023 Å, 73.67 73.67 49.05°
Each line ends with the local moment (μB).
Sites, in units of the cell vectors:
Ba (0.124, 0.876, 0.250)  0.00
Ba (0.876, 0.124, 0.750)  0.00
H (0.449, 0.202, 0.311)  0.00
H (0.798, 0.551, 0.189)  0.00
H (0.551, 0.798, 0.689)  0.00
H (0.202, 0.449, 0.811)  0.00
H (0.605, 0.735, 0.517)  0.00
H (0.265, 0.395, 0.983)  0.00
H (0.395, 0.265, 0.483)  0.00
H (0.735, 0.605, 0.017)  0.00
O (0.003, 0.283, 0.426)  0.45
O (0.717, 0.997, 0.074)  0.45
O (0.997, 0.717, 0.574)  0.45
O (0.283, 0.003, 0.926)  0.45
O (0.857, 0.569, 0.357)  0.39
O (0.431, 0.143, 0.143)  0.39
O (0.143, 0.431, 0.643)  0.39
O (0.569, 0.857, 0.857)  0.39
O (0.514, 0.256, 0.378)  0.01
O (0.744, 0.486, 0.122)  0.01
O (0.486, 0.744, 0.622)  0.01
O (0.256, 0.514, 0.878)  0.01



DFT (SCAN) results for a crystal of BaP2H4O8 relaxed with PBEsol.

Results
space group: P-1 (2)
uncorrected energy: -10.360 eV/atom
N(E_F): 0.00 states/eV/f.u.
offset from the most stable computed form: 35 meV per atom

Cell: 7.291 7.286 7.822 Å, 93.26 103.42 104.91°
Sites, in units of the cell vectors:
Ba (0.712, 0.774, 0.871)
Ba (0.288, 0.226, 0.129)
P (0.745, 0.246, 0.918)
P (0.255, 0.754, 0.082)
P (0.766, 0.663, 0.403)
P (0.234, 0.337, 0.597)
H (0.910, 0.403, 0.738)
H (0.090, 0.597, 0.262)
H (0.386, 0.159, 0.768)
H (0.614, 0.841, 0.232)
H (0.500, 0.500, 0.500)
H (0.000, 0.500, 0.500)
H (0.788, 0.413, 0.183)
H (0.212, 0.587, 0.817)
O (0.682, 0.352, 0.070)
O (0.318, 0.648, 0.930)
O (0.906, 0.156, 0.988)
O (0.094, 0.844, 0.012)
O (0.816, 0.419, 0.813)
O (0.184, 0.581, 0.187)
O (0.557, 0.100, 0.811)
O (0.443, 0.900, 0.189)
O (0.739, 0.784, 0.243)
O (0.261, 0.216, 0.757)
O (0.571, 0.500, 0.376)
O (0.429, 0.500, 0.624)
O (0.923, 0.558, 0.366)
O (0.077, 0.442, 0.634)
O (0.171, 0.225, 0.418)
O (0.829, 0.775, 0.582)



DFT (SCAN) results for a crystal of BaP2H4O8 relaxed with PBEsol.

Results
space group: Pccn (56)
uncorrected energy: -10.395 eV/atom
N(E_F): 0.00 states/eV/f.u.
offset from the most stable computed form: 0 meV per atom

Cell: 7.638 8.546 10.538 Å, 90.00 90.00 90.00°
Sites, in units of the cell vectors:
Ba (0.250, 0.896, 0.750)
Ba (0.750, 0.604, 0.250)
Ba (0.750, 0.104, 0.250)
Ba (0.250, 0.396, 0.750)
P (0.925, 0.708, 0.578)
P (0.575, 0.708, 0.922)
P (0.425, 0.792, 0.422)
P (0.075, 0.792, 0.078)
P (0.075, 0.292, 0.422)
P (0.425, 0.292, 0.078)
P (0.575, 0.208, 0.578)
P (0.925, 0.208, 0.922)
H (0.088, 0.798, 0.422)
H (0.412, 0.798, 0.078)
H (0.588, 0.702, 0.578)
H (0.912, 0.702, 0.922)
H (0.912, 0.202, 0.578)
H (0.588, 0.202, 0.922)
H (0.412, 0.298, 0.422)
H (0.088, 0.298, 0.078)
H (0.821, 0.959, 0.615)
H (0.679, 0.959, 0.885)
H (0.321, 0.541, 0.385)
H (0.179, 0.541, 0.115)
H (0.179, 0.041, 0.385)
H (0.321, 0.041, 0.115)
H (0.679, 0.459, 0.615)
H (0.821, 0.459, 0.885)
O (0.753, 0.617, 0.576)
O (0.747, 0.617, 0.924)
O (0.253, 0.883, 0.424)
O (0.247, 0.883, 0.076)
O (0.247, 0.383, 0.424)
O (0.253, 0.383, 0.076)
O (0.747, 0.117, 0.576)
O (0.753, 0.117, 0.924)
O (0.966, 0.743, 0.434)
O (0.534, 0.743, 0.066)
O (0.466, 0.757, 0.566)
O (0.034, 0.757, 0.934)
O (0.034, 0.257, 0.566)
O (0.466, 0.257, 0.934)
O (0.534, 0.243, 0.434)
O (0.966, 0.243, 0.066)
O (0.079, 0.635, 0.645)
O (0.421, 0.635, 0.855)
O (0.579, 0.865, 0.355)
O (0.921, 0.865, 0.145)
O (0.921, 0.365, 0.355)
O (0.579, 0.365, 0.145)
O (0.421, 0.135, 0.645)
O (0.079, 0.135, 0.855)
O (0.904, 0.872, 0.647)
O (0.596, 0.872, 0.853)
O (0.404, 0.628, 0.353)
O (0.096, 0.628, 0.147)
O (0.096, 0.128, 0.353)
O (0.404, 0.128, 0.147)
O (0.596, 0.372, 0.647)
O (0.904, 0.372, 0.853)



DFT (SCAN) results for a crystal of Ba2H2PdS10O34 relaxed with PBEsol.

Results
space group: P-1 (2)
uncorrected energy: -10.299 eV/atom
N(E_F): 0.00 states/eV/f.u.

Cell: 9.018 9.304 9.496 Å, 120.23 96.77 92.02°
Each line ends with the local moment (μB).
Sites, in units of the cell vectors:
Ba (0.739, 0.215, 0.914)  0.00
Ba (0.261, 0.785, 0.086)  0.00
H (0.590, 0.398, 0.553)  0.00
H (0.410, 0.602, 0.447)  0.00
Pd (0.000, 0.500, 0.500)  0.06
S (0.645, 0.121, 0.270)  0.00
S (0.355, 0.879, 0.730)  0.00
S (0.700, 0.908, 0.403)  0.00
S (0.300, 0.092, 0.597)  0.00
S (0.927, 0.670, 0.291)  0.00
S (0.073, 0.330, 0.709)  0.00
S (0.867, 0.758, 0.794)  0.00
S (0.133, 0.242, 0.206)  0.00
S (0.613, 0.573, 0.820)  0.00
S (0.387, 0.427, 0.180)  0.00
O (0.496, 0.033, 0.213)  0.00
O (0.504, 0.967, 0.787)  0.00
O (0.665, 0.274, 0.430)  0.00
O (0.335, 0.726, 0.570)  0.00
O (0.722, 0.132, 0.151)  0.00
O (0.278, 0.868, 0.849)  0.00
O (0.756, 0.992, 0.306)  0.00
O (0.244, 0.008, 0.694)  0.00
O (0.582, 0.778, 0.301)  0.00
O (0.418, 0.222, 0.699)  0.00
O (0.681, 0.036, 0.566)  0.00
O (0.319, 0.964, 0.434)  0.00
O (0.851, 0.838, 0.432)  0.00
O (0.149, 0.162, 0.568)  0.00
O (0.806, 0.539, 0.198)  0.00
O (0.194, 0.461, 0.802)  0.00
O (0.005, 0.734, 0.207)  0.00
O (0.995, 0.266, 0.793)  0.00
O (0.034, 0.650, 0.410)  0.00
O (0.966, 0.350, 0.590)  0.00
O (0.834, 0.627, 0.615)  0.00
O (0.166, 0.373, 0.385)  0.00
O (0.872, 0.925, 0.823)  0.00
O (0.128, 0.075, 0.177)  0.00
O (0.983, 0.722, 0.886)  0.00
O (0.017, 0.278, 0.114)  0.00
O (0.707, 0.744, 0.857)  0.00
O (0.293, 0.256, 0.143)  0.00
O (0.537, 0.495, 0.643)  0.00
O (0.463, 0.505, 0.357)  0.00
O (0.503, 0.639, 0.927)  0.00
O (0.497, 0.361, 0.073)  0.00
O (0.717, 0.469, 0.841)  0.00
O (0.283, 0.531, 0.159)  0.00



DFT (SCAN) results for a crystal of Rb2Ba6Sb5HO relaxed with PBEsol.

Results
space group: I4/mcm (140)
uncorrected energy: -32.851 eV/atom

Cell: 8.770 8.770 15.343 Å, 106.61 106.61 90.00°
Sites, in units of the cell vectors:
Sb (0.986, 0.486, 0.206)
Sb (0.219, 0.719, 0.206)
Sb (0.486, 0.219, 0.206)
Sb (0.719, 0.986, 0.206)
Sb (0.014, 0.514, 0.794)
Sb (0.781, 0.281, 0.794)
Sb (0.514, 0.781, 0.794)
Sb (0.281, 0.014, 0.794)
Sb (0.750, 0.750, 0.500)
Sb (0.250, 0.250, 0.500)
Rb (0.333, 0.833, 0.000)
Rb (0.667, 0.167, 0.000)
Rb (0.833, 0.667, 0.000)
Rb (0.167, 0.333, 0.000)
Ba (0.534, 0.034, 0.387)
Ba (0.853, 0.353, 0.387)
Ba (0.034, 0.853, 0.387)
Ba (0.353, 0.534, 0.387)
Ba (0.466, 0.966, 0.613)
Ba (0.147, 0.647, 0.613)
Ba (0.966, 0.147, 0.613)
Ba (0.647, 0.466, 0.613)
Ba (0.593, 0.593, 0.186)
Ba (0.093, 0.093, 0.186)
Ba (0.407, 0.407, 0.814)
Ba (0.907, 0.907, 0.814)
O (0.750, 0.250, 0.500)
O (0.250, 0.750, 0.500)
H (0.500, 0.500, 0.000)
H (0.000, 0.000, 0.000)



DFT (SCAN) results for a crystal of RbBaSiHO4 relaxed with PBEsol.

Results
space group: P2_1 (4)
uncorrected energy: -14.893 eV/atom
N(E_F): 0.00 states/eV/f.u.

Cell: 5.883 5.970 8.095 Å, 90.00 90.00 117.88°
Sites, in units of the cell vectors:
Rb (0.635, 0.292, 0.769)
Rb (0.365, 0.708, 0.269)
Ba (0.988, 0.995, 0.515)
Ba (0.012, 0.005, 0.015)
Si (0.309, 0.620, 0.755)
Si (0.691, 0.380, 0.255)
H (0.490, 0.535, 0.994)
H (0.510, 0.465, 0.494)
O (0.163, 0.795, 0.759)
O (0.837, 0.205, 0.259)
O (0.112, 0.316, 0.763)
O (0.888, 0.684, 0.263)
O (0.508, 0.684, 0.599)
O (0.492, 0.316, 0.099)
O (0.498, 0.689, 0.928)
O (0.502, 0.311, 0.428)



DFT (SCAN) results for a crystal of Ba2HRu3O10 relaxed with PBEsol.

Results
space group: P2_12_12_1 (19)
uncorrected energy: -17.301 eV/atom
N(E_F): 1.38 states/eV/f.u.

Cell: 7.063 9.895 12.059 Å, 90.00 90.00 90.00°
Each line ends with the local moment (μB).
Sites, in units of the cell vectors:
Ba (0.227, 0.159, 0.109)  0.01
Ba (0.727, 0.341, 0.891)  0.01
Ba (0.273, 0.841, 0.609)  0.01
Ba (0.773, 0.659, 0.391)  0.01
Ba (0.277, 0.369, 0.384)  0.01
Ba (0.777, 0.131, 0.616)  0.01
Ba (0.223, 0.631, 0.884)  0.01
Ba (0.723, 0.869, 0.116)  0.01
H (0.623, 0.629, 0.970)  0.00
H (0.123, 0.871, 0.030)  0.00
H (0.877, 0.371, 0.470)  0.00
H (0.377, 0.129, 0.530)  0.00
Ru (0.556, 0.993, 0.854)  1.72
Ru (0.056, 0.507, 0.146)  1.72
Ru (0.944, 0.007, 0.354)  1.72
Ru (0.444, 0.493, 0.646)  1.72
Ru (0.936, 0.494, 0.655)  1.84
Ru (0.436, 0.006, 0.345)  1.84
Ru (0.564, 0.506, 0.155)  1.84
Ru (0.064, 0.994, 0.845)  1.84
Ru (0.251, 0.241, 0.745)  -1.67
Ru (0.751, 0.259, 0.255)  -1.67
Ru (0.249, 0.759, 0.245)  -1.67
Ru (0.749, 0.741, 0.755)  -1.67
O (0.491, 0.148, 0.770)  0.04
O (0.991, 0.352, 0.230)  0.04
O (0.009, 0.852, 0.270)  0.04
O (0.509, 0.648, 0.730)  0.04
O (0.658, 0.810, 0.893)  -0.05
O (0.158, 0.690, 0.107)  -0.05
O (0.842, 0.190, 0.393)  -0.05
O (0.342, 0.310, 0.607)  -0.05
O (0.810, 0.591, 0.152)  0.17
O (0.310, 0.909, 0.848)  0.17
O (0.690, 0.409, 0.652)  0.17
O (0.190, 0.091, 0.348)  0.17
O (0.125, 0.595, 0.288)  -0.09
O (0.625, 0.905, 0.712)  -0.09
O (0.375, 0.405, 0.788)  -0.09
O (0.875, 0.095, 0.212)  -0.09
O (0.530, 0.049, 0.995)  0.35
O (0.030, 0.451, 0.005)  0.35
O (0.970, 0.951, 0.495)  0.35
O (0.470, 0.549, 0.505)  0.35
O (0.373, 0.930, 0.200)  0.04
O (0.873, 0.570, 0.800)  0.04
O (0.127, 0.070, 0.700)  0.04
O (0.627, 0.430, 0.300)  0.04
O (0.165, 0.169, 0.885)  0.01
O (0.665, 0.331, 0.115)  0.01
O (0.335, 0.831, 0.385)  0.01
O (0.835, 0.669, 0.615)  0.01
O (0.313, 0.431, 0.151)  0.24
O (0.813, 0.069, 0.849)  0.24
O (0.187, 0.569, 0.651)  0.24
O (0.687, 0.931, 0.349)  0.24
O (0.988, 0.828, 0.780)  0.08
O (0.488, 0.672, 0.220)  0.08
O (0.512, 0.172, 0.280)  0.08
O (0.012, 0.328, 0.720)  0.08
O (0.962, 0.446, 0.493)  0.06
O (0.462, 0.054, 0.507)  0.06
O (0.538, 0.554, 0.993)  0.06
O (0.038, 0.946, 0.007)  0.06



DFT (SCAN) results for a crystal of BaV2H2Se4O14 relaxed with PBEsol.

Results
space group: P2_1/c (14)
uncorrected energy: -12.450 eV/atom

Cell: 6.989 9.695 9.822 Å, 116.78 90.00 90.00°
Each line ends with the local moment (μB).
Sites, in units of the cell vectors:
Ba (0.500, 0.500, 0.000)  0.00
Ba (0.000, 0.500, 0.500)  0.00
V (0.474, 0.705, 0.446)  1.03
V (0.974, 0.295, 0.054)  1.03
V (0.526, 0.295, 0.554)  1.03
V (0.026, 0.705, 0.946)  1.03
H (0.580, 0.133, 0.947)  0.00
H (0.080, 0.867, 0.553)  0.00
H (0.420, 0.867, 0.053)  0.00
H (0.920, 0.133, 0.447)  0.00
Se (0.582, 0.057, 0.685)  0.01
Se (0.082, 0.943, 0.815)  0.01
Se (0.418, 0.943, 0.315)  0.01
Se (0.918, 0.057, 0.185)  0.01
Se (0.501, 0.690, 0.755)  0.01
Se (0.001, 0.310, 0.745)  0.01
Se (0.499, 0.310, 0.245)  0.01
Se (0.999, 0.690, 0.255)  0.01
O (0.410, 0.926, 0.577)  0.01
O (0.910, 0.074, 0.923)  0.01
O (0.590, 0.074, 0.423)  0.01
O (0.090, 0.926, 0.077)  0.01
O (0.346, 0.658, 0.606)  0.01
O (0.846, 0.342, 0.894)  0.01
O (0.654, 0.342, 0.394)  0.01
O (0.154, 0.658, 0.106)  0.01
O (0.428, 0.495, 0.283)  0.01
O (0.928, 0.505, 0.217)  0.01
O (0.572, 0.505, 0.717)  0.01
O (0.072, 0.495, 0.783)  0.01
O (0.153, 0.725, 0.404)  0.00
O (0.653, 0.275, 0.096)  0.00
O (0.847, 0.275, 0.596)  0.00
O (0.347, 0.725, 0.904)  0.00
O (0.520, 0.767, 0.283)  0.00
O (0.020, 0.233, 0.217)  0.00
O (0.480, 0.233, 0.717)  0.00
O (0.980, 0.767, 0.783)  0.00
O (0.691, 0.694, 0.500)  -0.11
O (0.191, 0.306, 0.000)  -0.11
O (0.309, 0.306, 0.500)  -0.11
O (0.809, 0.694, 0.000)  -0.11
O (0.506, 0.053, 0.854)  0.00
O (0.006, 0.947, 0.646)  0.00
O (0.494, 0.947, 0.146)  0.00
O (0.994, 0.053, 0.354)  0.00